Computed, not measured: a geometry-optimized LaPaSn2O8 structure at the PBE level of DFT.

abc: 6.288 6.288 6.288
angles: 108.08 108.08 112.28
Atoms (fractional coordinates):
La 0.000 0.000 0.000
Pa 0.250 0.750 0.500
Sn 0.750 0.250 0.500
Sn 0.500 0.500 0.000
O 0.362 0.041 0.321
O 0.313 0.513 0.200
O 0.313 0.113 0.800
O 0.720 0.041 0.679
O 0.887 0.687 0.200
O 0.959 0.280 0.321
O 0.959 0.638 0.679
O 0.487 0.687 0.800

- Uncorrected formation energy: -236 kJ/mol of atoms
- Symmetry: I-4m2
- Raw total energy: -7.6250 eV per atom

Computed, not measured: a geometry-optimized Sr2LaPaO6 structure at the PBE level of DFT.

abc: 6.102 6.291 8.779
angles: 90.00 89.94 90.00
Atoms (fractional coordinates):
Sr 0.013 0.954 0.253
Sr 0.513 0.546 0.753
Sr 0.987 0.046 0.747
Sr 0.487 0.454 0.247
La 0.500 0.000 0.000
La 0.000 0.500 0.500
Pa 0.500 0.000 0.500
Pa 0.000 0.500 0.000
O 0.291 0.686 0.056
O 0.791 0.814 0.556
O 0.709 0.314 0.944
O 0.209 0.186 0.444
O 0.315 0.714 0.431
O 0.815 0.786 0.931
O 0.685 0.286 0.569
O 0.185 0.214 0.069
O 0.885 0.555 0.236
O 0.385 0.945 0.736
O 0.115 0.445 0.764
O 0.615 0.055 0.264

- Uncorrected formation energy: -322 kJ/mol of atoms
- Symmetry: P2_1/c
- Raw total energy: -8.0909 eV per atom

Computed, not measured: a geometry-optimized SrLaPa2O8 structure at the PBE level of DFT.

abc: 5.615 5.615 6.735
angles: 114.64 114.64 90.00
Atoms (fractional coordinates):
Sr 0.000 0.000 0.000
La 0.750 0.250 0.500
Pa 0.500 0.500 0.000
Pa 0.250 0.750 0.500
O 0.873 0.849 0.253
O 0.380 0.404 0.253
O 0.595 0.620 0.747
O 0.151 0.127 0.747
O 0.873 0.405 0.253
O 0.380 0.849 0.253
O 0.151 0.620 0.747
O 0.596 0.127 0.747

- Uncorrected formation energy: -323 kJ/mol of atoms
- Symmetry: I-4m2
- Raw total energy: -8.7825 eV per atom

Computed, not measured: a geometry-optimized SrLaPaO6 structure at the PBE level of DFT.

abc: 4.712 6.141 6.141
angles: 120.00 90.00 90.00
Atoms (fractional coordinates):
Sr 0.500 0.667 0.333
La 0.500 0.000 0.000
Pa 0.000 0.333 0.667
O 0.755 0.640 0.680
O 0.755 0.320 0.960
O 0.755 0.040 0.360
O 0.245 0.320 0.360
O 0.245 0.640 0.960
O 0.245 0.040 0.680

- Uncorrected formation energy: -266 kJ/mol of atoms
- Symmetry: P312
- Raw total energy: -7.8494 eV per atom

Computed, not measured: a geometry-optimized LaPaTe2O8 structure at the PBE level of DFT.

abc: 6.377 6.377 6.377
angles: 108.68 108.68 111.08
Atoms (fractional coordinates):
La 0.250 0.750 0.500
Pa 0.000 0.000 0.000
Te 0.750 0.250 0.500
Te 0.500 0.500 0.000
O 0.356 0.057 0.299
O 0.285 0.463 0.178
O 0.285 0.106 0.822
O 0.758 0.057 0.701
O 0.894 0.715 0.178
O 0.943 0.242 0.299
O 0.943 0.644 0.701
O 0.537 0.715 0.822

- Uncorrected formation energy: -202 kJ/mol of atoms
- Symmetry: I-4m2
- Raw total energy: -7.1218 eV per atom

Computed, not measured: a geometry-optimized La2PaTeO8 structure at the PBE level of DFT.

abc: 4.168 5.600 7.499
angles: 90.00 90.00 96.33
Atoms (fractional coordinates):
La 0.500 0.500 0.756
La 0.500 0.500 0.244
Pa 0.000 0.000 0.500
Te 0.000 0.000 0.000
O 0.058 0.776 0.241
O 0.584 0.777 0.000
O 0.942 0.224 0.241
O 0.942 0.224 0.759
O 0.416 0.223 0.000
O 0.058 0.776 0.759
O 0.563 0.769 0.500
O 0.437 0.231 0.500

- Uncorrected formation energy: -262 kJ/mol of atoms
- Symmetry: P2/m
- Raw total energy: -7.8935 eV per atom

Computed, not measured: a geometry-optimized LaPaTi2O8 structure at the PBE level of DFT.

abc: 5.228 5.228 6.791
angles: 112.64 112.64 90.00
Atoms (fractional coordinates):
La 0.750 0.250 0.500
Pa 0.000 0.000 0.000
Ti 0.500 0.500 0.000
Ti 0.250 0.750 0.500
O 0.753 0.836 0.152
O 0.399 0.316 0.152
O 0.595 0.687 0.678
O 0.084 0.991 0.678
O 0.009 0.405 0.322
O 0.313 0.916 0.322
O 0.164 0.601 0.848
O 0.684 0.247 0.848

- Uncorrected formation energy: -320 kJ/mol of atoms
- Symmetry: I-4
- Raw total energy: -9.1441 eV per atom

Computed, not measured: a geometry-optimized LaPaTiO6 structure at the PBE level of DFT.

abc: 5.559 5.559 10.098
angles: 90.00 90.00 120.00
Atoms (fractional coordinates):
La 0.000 0.000 0.000
La 0.000 0.000 0.500
Pa 0.333 0.667 0.250
Pa 0.667 0.333 0.750
Ti 0.667 0.333 0.250
Ti 0.333 0.667 0.750
O 0.651 0.626 0.142
O 0.975 0.349 0.142
O 0.349 0.975 0.642
O 0.025 0.651 0.858
O 0.374 0.349 0.358
O 0.975 0.626 0.358
O 0.626 0.975 0.858
O 0.651 0.025 0.358
O 0.025 0.374 0.642
O 0.374 0.025 0.142
O 0.626 0.651 0.642
O 0.349 0.374 0.858

- Uncorrected formation energy: -327 kJ/mol of atoms
- Symmetry: P-31c
- Raw total energy: -9.1791 eV per atom